Below is crystalline AcLaSnGe at its relaxed geometry, with properties calculated at the GGA-PBE level.

a b c (Å): 4.844 4.347 6.433
angles (deg): 90.00 112.12 90.00
Sites, in units of the cell vectors:
La: 0.140 0.000 0.280
Sn: 0.580 0.500 0.160
Ac: 0.864 0.500 0.727
Ge: 0.416 0.000 0.833

Computed properties:
energy of formation: -2.97 eV per formula unit
crystal system: orthorhombic
energy above the lowest structure with this stoichiometry: 0.000 eV per atom
total DFT energy (no corrections): -20.63 eV/cell
calculated density: 7.37 g/cm³

---

Below is crystalline LaSm3ErTm at its relaxed geometry, with properties calculated at the GGA-PBE level.

a b c (Å): 5.760 10.613 6.864
angles (deg): 91.35 90.00 105.75
Sites, in units of the cell vectors:
Tm: 0.058 0.115 0.275
Tm: 0.942 0.885 0.725
Sm: 0.481 0.961 0.256
Sm: 0.220 0.440 0.263
Sm: 0.159 0.318 0.739
Sm: 0.519 0.039 0.744
Sm: 0.780 0.560 0.737
Sm: 0.841 0.682 0.261
Er: 0.357 0.714 0.529
Er: 0.643 0.286 0.471
La: 0.354 0.708 0.975
La: 0.646 0.292 0.025

Computed properties:
energy of formation: 1.24 eV per formula unit
crystal system: monoclinic
total DFT energy (no corrections): -53.75 eV/cell
calculated density: 7.62 g/cm³

---

Below is crystalline TbSmSCl at its relaxed geometry, with properties calculated at the GGA-PBE level.

a b c (Å): 3.813 3.814 7.760
angles (deg): 90.01 104.11 120.02
Sites, in units of the cell vectors:
Tb: 0.327 0.561 0.903
S: 0.131 0.963 0.110
Cl: 0.480 0.138 0.632
Sm: 0.940 0.368 0.325

Computed properties:
crystal system: monoclinic
total DFT energy (no corrections): -21.77 eV/cell
formation energy without anion corrections: -622 kJ/mol of formula units
calculated density: 6.67 g/cm³